Computed, not measured: an optimized crystal structure of LiGa2Cu7 at the GGA-PBE level of DFT.

Computed properties:
* total magnetization: 0.0 μB/cell
* space group: No. 65
* electronic total energy: -3.429 eV per atom
* energy of formation from the pure elements: 0.2351 eV/atom

Lattice parameters (Å, degrees): 4.1116 6.9252 6.9252 122.85 90.00 90.00
Last column: nearest neighbours and their distance in Å.
Sites, in units of the cell vectors:
Li1 0.0000 0.0000 0.0000  2 Cu 2.37
Ga1 0.5000 0.7017 0.2983  7 Cu 2.41-2.63
Ga2 0.5000 0.2983 0.7017  7 Cu 2.41-2.63
Cu1 0.0000 0.8050 0.1950  1 Li 2.37, 2 Ga 2.41, 4 Cu 2.61
Cu2 0.0000 0.1950 0.8050  1 Li 2.37, 2 Ga 2.41, 4 Cu 2.61
Cu3 0.5000 0.0739 0.2847  5 Cu 2.38-2.61, 2 Ga 2.43-2.63
Cu4 0.5000 0.9261 0.7153  5 Cu 2.38-2.61, 2 Ga 2.43-2.63
Cu5 0.5000 0.2847 0.0739  5 Cu 2.38-2.61, 2 Ga 2.43-2.63
Cu6 0.5000 0.7153 0.9261  5 Cu 2.38-2.61, 2 Ga 2.43-2.63
Cu7 0.5000 0.5000 0.5000  2 Ga 2.45, 4 Cu 2.48